Density functional theory data (PBE) for a relaxed structure of DyTh2C2.

Values from the calculation:
Calculated total energy = -78.3 eV per cell
E_form = -1.24 eV per formula unit
N(E_F) = 6.7 states/eV/cell
Total magnetization = 0.000 μB per formula unit
Mass density = 9.956 g cm⁻³
Energy relative to the lowest polymorph listed for this composition = 0.004 eV per atom

```
data_DyTh2C2
_cell_length_a 3.796
_cell_length_b 3.796
_cell_length_c 15.061
_cell_angle_alpha 90.00
_cell_angle_beta 90.00
_cell_angle_gamma 90.00
_symmetry_space_group_name_H-M 'I 4/m m m'
_symmetry_Int_Tables_number 139
_symmetry_space_group_name_Hall '-I 4 2'
loop_
_atom_site_label
_atom_site_type_symbol
_atom_site_fract_x
_atom_site_fract_y
_atom_site_fract_z
Dy1 Dy 0.000 0.000 0.000
Th1 Th 0.000 0.000 0.334
C1 C 0.000 0.000 0.168
```

---

Density functional theory data (PBE) for a relaxed structure of DyTh5C4.

Values from the calculation:
Calculated total energy = -162.5 eV per cell
E_form = -2.67 eV per formula unit
N(E_F) = 12.3 states/eV/cell
Total magnetization = 0.000 μB per formula unit
Mass density = 10.450 g cm⁻³

```
data_DyTh5C4
_cell_length_a 16.119
_cell_length_b 3.682
_cell_length_c 7.523
_cell_angle_alpha 90.00
_cell_angle_beta 102.69
_cell_angle_gamma 90.00
_symmetry_space_group_name_H-M 'C 1 2/m 1'
_symmetry_Int_Tables_number 12
loop_
_symmetry_equiv_pos_as_xyz
'x,y,z'
'-x,-y,-z'
'-x,y,-z'
'x,-y,z'
'x+1/2,y+1/2,z'
'-x+1/2,-y+1/2,-z'
'-x+1/2,y+1/2,-z'
'x+1/2,-y+1/2,z'
loop_
_atom_site_label
_atom_site_type_symbol
_atom_site_fract_x
_atom_site_fract_y
_atom_site_fract_z
Dy1 Dy 0.000 0.000 0.000
Th1 Th 0.000 0.000 0.500
Th2 Th 0.159 0.500 0.308
Th3 Th 0.162 0.500 0.842
C1 C 0.003 0.500 0.253
C2 C 0.167 0.000 0.081
```